Record 1
# Nb3Mo2W2 | the Alexandria database | PBE-GGA | relaxed
# **ΔE to the lowest computed polymorph**: 24 meV/atom
# **Spin magnetization**: 0.00 μB per formula unit
# **Calculated formation energy**: -0.074 eV/atom
# **Uncorrected energy**: -0.4110 Ha/atom
data_Nb3Mo2W2
_cell_length_a 2.811
_cell_length_b 7.008
_cell_length_c 7.012
_cell_angle_alpha 118.05
_cell_angle_beta 97.75
_cell_angle_gamma 97.43
_symmetry_space_group_name_H-M 'P -1'
_symmetry_Int_Tables_number 2
loop_
_symmetry_equiv_pos_as_xyz
'x,y,z'
'-x,-y,-z'
loop_
_atom_site_label
_atom_site_type_symbol
_atom_site_fract_x
_atom_site_fract_y
_atom_site_fract_z
Nb1 Nb 0.000 0.000 0.000
Nb2 Nb 0.428 0.569 0.716
Mo1 Mo 0.287 0.717 0.147
W1 W 0.147 0.861 0.568


Record 2
# NbMoW3 | the Alexandria database | PBE-GGA | relaxed
# **ΔE to the lowest computed polymorph**: 388 meV/atom
# **Spin magnetization**: 0.00 μB per formula unit
# **Calculated formation energy**: 0.875 eV/atom
# **Uncorrected energy**: -0.4071 Ha/atom
data_NbMoW3
_cell_length_a 4.8651
_cell_length_b 4.8651
_cell_length_c 27.3919
_cell_angle_alpha 90.00
_cell_angle_beta 90.00
_cell_angle_gamma 120.00
_symmetry_space_group_name_H-M 'R -3'
_symmetry_Int_Tables_number 148
_symmetry_space_group_name_Hall '-R 3'
loop_
_atom_site_label
_atom_site_type_symbol
_atom_site_fract_x
_atom_site_fract_y
_atom_site_fract_z
Nb1 Nb 0.0000 0.0000 0.1718
Mo1 Mo 0.0000 0.0000 0.3298
W1 W 0.9999 0.3433 0.7473


Record 3
# NbMoW6 | the Alexandria database | PBE-GGA | relaxed
# **ΔE to the lowest computed polymorph**: 0 meV/atom
# **Spin magnetization**: 0.00 μB per formula unit
# **Calculated formation energy**: -0.046 eV/atom
# **Uncorrected energy**: -0.4547 Ha/atom
data_NbMoW6
_cell_length_a 6.405
_cell_length_b 9.021
_cell_length_c 4.523
_cell_angle_alpha 90.00
_cell_angle_beta 90.00
_cell_angle_gamma 90.00
_symmetry_space_group_name_H-M 'C m m m'
_symmetry_Int_Tables_number 65
_symmetry_space_group_name_Hall '-C 2 2'
loop_
_atom_site_label
_atom_site_type_symbol
_atom_site_fract_x
_atom_site_fract_y
_atom_site_fract_z
Nb1 Nb 0.000 0.000 0.000
Mo1 Mo 0.000 0.500 0.000
W1 W 0.000 0.250 0.500
W2 W 0.248 0.500 0.500
W3 W 0.250 0.250 0.000


Record 4
# Nb6Mo8W | the Alexandria database | PBE-GGA | relaxed
# **Spin magnetization**: 0.00 μB per formula unit
# **Calculated formation energy**: 0.526 eV/atom
# **Uncorrected energy**: -0.3727 Ha/atom
data_Nb6Mo8W
_cell_length_a 10.1174
_cell_length_b 10.1174
_cell_length_c 3.0504
_cell_angle_alpha 90.00
_cell_angle_beta 90.00
_cell_angle_gamma 120.00
_symmetry_space_group_name_H-M 'P -3'
_symmetry_Int_Tables_number 147
loop_
_symmetry_equiv_pos_as_xyz
'x,y,z'
'-x,-y,-z'
'-y,x-y,z'
'y,-x+y,-z'
'-x+y,-x,z'
'x-y,x,-z'
loop_
_atom_site_label
_atom_site_type_symbol
_atom_site_fract_x
_atom_site_fract_y
_atom_site_fract_z
Nb1 Nb 0.1083 0.4691 0.1308
Mo1 Mo 0.0752 0.8001 0.3517
Mo2 Mo 0.3333 0.6667 0.6224
W1 W 0.0000 0.0000 0.0000


Record 5
# Nb6Mo3W | the Alexandria database | PBE-GGA | relaxed
# **Spin magnetization**: 0.00 μB per formula unit
# **Calculated formation energy**: 0.270 eV/atom
# **Uncorrected energy**: -0.3791 Ha/atom
data_Nb6Mo3W
_cell_length_a 10.1528
_cell_length_b 10.1528
_cell_length_c 12.2170
_cell_angle_alpha 90.00
_cell_angle_beta 90.00
_cell_angle_gamma 120.00
_symmetry_space_group_name_H-M 'R -3'
_symmetry_Int_Tables_number 148
_symmetry_space_group_name_Hall '-R 3'
loop_
_atom_site_label
_atom_site_type_symbol
_atom_site_fract_x
_atom_site_fract_y
_atom_site_fract_z
Nb1 Nb 0.0566 0.8687 0.3045
Nb2 Nb 0.0668 0.4695 0.5866
Mo1 Mo 0.0385 0.5832 0.2067
W1 W 0.0000 0.0000 0.0000
W2 W 0.0000 0.0000 0.5000


Record 6
# Nb3Mo2W6 | the Alexandria database | PBE-GGA | relaxed
# **Spin magnetization**: 0.00 μB per formula unit
# **Calculated formation energy**: 0.381 eV/atom
# **Uncorrected energy**: -0.4190 Ha/atom
data_Nb3Mo2W6
_cell_length_a 2.614
_cell_length_b 4.804
_cell_length_c 29.745
_cell_angle_alpha 90.00
_cell_angle_beta 90.00
_cell_angle_gamma 90.00
_symmetry_space_group_name_H-M 'I m m m'
_symmetry_Int_Tables_number 71
_symmetry_space_group_name_Hall '-I 2 2'
loop_
_atom_site_label
_atom_site_type_symbol
_atom_site_fract_x
_atom_site_fract_y
_atom_site_fract_z
Nb1 Nb 0.000 0.000 0.000
Nb2 Nb 0.000 0.000 0.184
Mo1 Mo 0.000 0.000 0.455
W1 W 0.000 0.000 0.277
W2 W 0.000 0.500 0.133
W3 W 0.000 0.500 0.406


Record 7
# Nb2Mo3W | the Alexandria database | PBE-GGA | relaxed
# **ΔE to the lowest computed polymorph**: 38 meV/atom
# **Spin magnetization**: 0.00 μB per formula unit
# **Calculated formation energy**: -0.085 eV/atom
# **Uncorrected energy**: -0.4048 Ha/atom
data_Nb2Mo3W
_cell_length_a 4.541
_cell_length_b 9.650
_cell_length_c 9.076
_cell_angle_alpha 90.00
_cell_angle_beta 90.00
_cell_angle_gamma 90.00
_symmetry_space_group_name_H-M 'C m m m'
_symmetry_Int_Tables_number 65
_symmetry_space_group_name_Hall '-C 2 2'
loop_
_atom_site_label
_atom_site_type_symbol
_atom_site_fract_x
_atom_site_fract_y
_atom_site_fract_z
Nb1 Nb 0.000 0.000 0.000
Nb2 Nb 0.000 0.000 0.500
Nb3 Nb 0.000 0.333 0.000
Mo1 Mo 0.000 0.168 0.254
Mo2 Mo 0.000 0.500 0.255
W1 W 0.000 0.331 0.500


Record 8
# NbMo2W | the Alexandria database | PBE-GGA | relaxed
# **ΔE to the lowest computed polymorph**: 913 meV/atom
# **Spin magnetization**: 0.00 μB per formula unit
# **Calculated formation energy**: 0.799 eV/atom
# **Uncorrected energy**: -0.3812 Ha/atom
data_NbMo2W
_cell_length_a 7.213
_cell_length_b 7.213
_cell_length_c 5.459
_cell_angle_alpha 90.00
_cell_angle_beta 90.00
_cell_angle_gamma 90.00
_symmetry_space_group_name_H-M 'I -4 2 d'
_symmetry_Int_Tables_number 122
_symmetry_space_group_name_Hall 'I -4 2bw'
loop_
_atom_site_label
_atom_site_type_symbol
_atom_site_fract_x
_atom_site_fract_y
_atom_site_fract_z
Nb1 Nb 0.000 0.000 0.000
Mo1 Mo 0.239 0.250 0.625
W1 W 0.000 0.000 0.500


Record 9
# Nb2Mo5W | the Alexandria database | PBE-GGA | relaxed
# **Spin magnetization**: 0.00 μB per formula unit
# **Calculated formation energy**: 0.043 eV/atom
# **Uncorrected energy**: -0.3992 Ha/atom
data_Nb2Mo5W
_cell_length_a 5.446
_cell_length_b 10.679
_cell_length_c 4.554
_cell_angle_alpha 90.00
_cell_angle_beta 90.00
_cell_angle_gamma 90.00
_symmetry_space_group_name_H-M 'P b a m'
_symmetry_Int_Tables_number 55
loop_
_symmetry_equiv_pos_as_xyz
'x,y,z'
'-x,-y,-z'
'-x,-y,z'
'x,y,-z'
'x+1/2,-y+1/2,-z'
'-x+1/2,y+1/2,z'
'-x+1/2,y+1/2,-z'
'x+1/2,-y+1/2,z'
loop_
_atom_site_label
_atom_site_type_symbol
_atom_site_fract_x
_atom_site_fract_y
_atom_site_fract_z
Nb1 Nb 0.166 0.122 0.000
Mo1 Mo 0.000 0.000 0.500
Mo2 Mo 0.159 0.753 0.500
Mo3 Mo 0.165 0.382 0.000
W1 W 0.000 0.500 0.500


Record 10
# NbMoW | the Alexandria database | PBE-GGA | relaxed
# **ΔE to the lowest computed polymorph**: 22 meV/atom
# **Spin magnetization**: 0.00 μB per formula unit
# **Calculated formation energy**: -0.081 eV/atom
# **Uncorrected energy**: -0.4177 Ha/atom
data_NbMoW
_cell_length_a 3.211
_cell_length_b 4.548
_cell_length_c 13.673
_cell_angle_alpha 90.00
_cell_angle_beta 90.00
_cell_angle_gamma 90.00
_symmetry_space_group_name_H-M 'F m m 2'
_symmetry_Int_Tables_number 42
_symmetry_space_group_name_Hall 'F 2 -2'
loop_
_atom_site_label
_atom_site_type_symbol
_atom_site_fract_x
_atom_site_fract_y
_atom_site_fract_z
Nb1 Nb 0.000 0.000 0.000
Mo1 Mo 0.000 0.000 0.669
W1 W 0.000 0.000 0.330


Record 11
# NbMo5W6 | the Alexandria database | PBE-GGA | relaxed
# **Spin magnetization**: 0.00 μB per formula unit
# **Calculated formation energy**: -0.035 eV/atom
# **Uncorrected energy**: -0.4360 Ha/atom
data_NbMo5W6
_cell_length_a 4.504
_cell_length_b 6.375
_cell_length_c 13.507
_cell_angle_alpha 90.00
_cell_angle_beta 90.00
_cell_angle_gamma 90.00
_symmetry_space_group_name_H-M 'I m m m'
_symmetry_Int_Tables_number 71
_symmetry_space_group_name_Hall '-I 2 2'
loop_
_atom_site_label
_atom_site_type_symbol
_atom_site_fract_x
_atom_site_fract_y
_atom_site_fract_z
Nb1 Nb 0.000 0.000 0.000
Mo1 Mo 0.000 0.000 0.333
Mo2 Mo 0.000 0.500 0.000
Mo3 Mo 0.000 0.500 0.332
W1 W 0.000 0.247 0.500
W2 W 0.000 0.251 0.168